Arrangement a

First-principles (PBE) data for an optimized crystal structure of SmGaPO, as listed in OQMD via LeMat-Bulk.

a = 4.235 Å, b = 4.235 Å, c = 7.894 Å
α = 90.00°, β = 90.00°, γ = 90.00°
Atoms (fractional coordinates):
Sm (0.250, 0.250, 0.129)
Sm (0.750, 0.750, 0.871)
Ga (0.250, 0.750, 0.500)
Ga (0.750, 0.250, 0.500)
P (0.250, 0.250, 0.662)
P (0.750, 0.750, 0.338)
O (0.250, 0.750, 0.000)
O (0.750, 0.250, 0.000)


Arrangement b

First-principles (PBE) data for an optimized crystal structure of SmGaPO, as listed in OQMD via LeMat-Bulk.

a = 4.285 Å, b = 4.285 Å, c = 9.337 Å
α = 90.00°, β = 90.00°, γ = 90.00°
Atoms (fractional coordinates):
Sm (0.250, 0.750, 0.000)
Sm (0.750, 0.250, 0.000)
Ga (0.250, 0.250, 0.444)
Ga (0.750, 0.750, 0.556)
P (0.250, 0.250, 0.191)
P (0.750, 0.750, 0.809)
O (0.250, 0.750, 0.500)
O (0.750, 0.250, 0.500)


Relative energies with respect to the most stable structure, expressed in eV/atom: arrangement a 0.000; arrangement b 0.956.


Arrangement a

First-principles (PBE) data for an optimized crystal structure of TaGaPO, as listed in OQMD via LeMat-Bulk.

a = 3.308 Å, b = 7.364 Å, c = 5.747 Å
α = 90.00°, β = 90.00°, γ = 90.00°
Atoms (fractional coordinates):
Ta (0.000, 0.011, 0.000)
Ta (0.000, 0.989, 0.500)
Ga (0.500, 0.395, 0.358)
Ga (0.500, 0.605, 0.858)
P (0.500, 0.180, 0.743)
P (0.500, 0.820, 0.243)
O (0.000, 0.204, 0.260)
O (0.000, 0.796, 0.760)


Arrangement b

First-principles (PBE) data for an optimized crystal structure of TaGaPO, as listed in OQMD via LeMat-Bulk.

a = 3.432 Å, b = 3.432 Å, c = 9.857 Å
α = 90.00°, β = 90.00°, γ = 90.00°
Atoms (fractional coordinates):
Ta (0.250, 0.250, 0.134)
Ta (0.750, 0.750, 0.866)
Ga (0.250, 0.750, 0.500)
Ga (0.750, 0.250, 0.500)
P (0.250, 0.250, 0.747)
P (0.750, 0.750, 0.253)
O (0.250, 0.750, 0.000)
O (0.750, 0.250, 0.000)


Arrangement c

First-principles (PBE) data for an optimized crystal structure of TaGaPO, as listed in OQMD via LeMat-Bulk.

a = 3.866 Å, b = 7.425 Å, c = 4.902 Å
α = 90.00°, β = 90.00°, γ = 90.00°
Atoms (fractional coordinates):
Ta (0.000, 0.121, 0.000)
Ta (0.000, 0.879, 0.500)
Ga (0.500, 0.427, 0.526)
Ga (0.500, 0.573, 0.026)
P (0.000, 0.218, 0.500)
P (0.000, 0.782, 0.000)
O (0.500, 0.140, 0.002)
O (0.500, 0.860, 0.502)


Relative energies with respect to the most stable structure, expressed in eV/atom: arrangement a 0.079; arrangement b 0.148; arrangement c 0.000.


Arrangement a

First-principles (PBE) data for an optimized crystal structure of Ga2PdO4, as listed in OQMD via LeMat-Bulk.

a = 5.248 Å, b = 10.087 Å, c = 5.557 Å
α = 90.00°, β = 90.00°, γ = 90.00°
Atoms (fractional coordinates):
Ga (0.015, 0.160, 0.052)
Ga (0.015, 0.340, 0.552)
Ga (0.485, 0.660, 0.052)
Ga (0.485, 0.840, 0.552)
Ga (0.515, 0.160, 0.448)
Ga (0.515, 0.340, 0.948)
Ga (0.985, 0.660, 0.448)
Ga (0.985, 0.840, 0.948)
Pd (0.000, 0.000, 0.500)
Pd (0.000, 0.500, 0.000)
Pd (0.500, 0.000, 0.000)
Pd (0.500, 0.500, 0.500)
O (0.150, 0.516, 0.661)
O (0.150, 0.984, 0.161)
O (0.205, 0.236, 0.336)
O (0.205, 0.264, 0.836)
O (0.295, 0.736, 0.336)
O (0.295, 0.764, 0.836)
O (0.350, 0.016, 0.661)
O (0.350, 0.484, 0.161)
O (0.650, 0.516, 0.839)
O (0.650, 0.984, 0.339)
O (0.705, 0.236, 0.164)
O (0.705, 0.264, 0.664)
O (0.795, 0.736, 0.164)
O (0.795, 0.764, 0.664)
O (0.850, 0.016, 0.839)
O (0.850, 0.484, 0.339)


Arrangement b

First-principles (PBE) data for an optimized crystal structure of Ga2PdO4, as listed in OQMD via LeMat-Bulk.

a = 6.056 Å, b = 6.056 Å, c = 6.056 Å
α = 60.00°, β = 60.00°, γ = 60.00°
Atoms (fractional coordinates):
Ga (0.000, 0.000, 0.000)
Ga (0.000, 0.000, 0.500)
Ga (0.000, 0.500, 0.000)
Ga (0.500, 0.000, 0.000)
Pd (0.375, 0.375, 0.375)
Pd (0.625, 0.625, 0.625)
O (0.199, 0.767, 0.767)
O (0.233, 0.233, 0.233)
O (0.233, 0.233, 0.801)
O (0.233, 0.801, 0.233)
O (0.767, 0.199, 0.767)
O (0.767, 0.767, 0.199)
O (0.767, 0.767, 0.767)
O (0.801, 0.233, 0.233)


Relative energies with respect to the most stable structure, expressed in eV/atom: arrangement a 0.000; arrangement b 0.076.


Arrangement a

First-principles (PBE) data for an optimized crystal structure of Sm2Ga2O5, as listed in OQMD via LeMat-Bulk.

a = 3.910 Å, b = 3.910 Å, c = 6.941 Å
α = 90.00°, β = 90.00°, γ = 90.00°
Atoms (fractional coordinates):
Sm (0.000, 0.000, 0.000)
Sm (0.000, 0.000, 0.500)
Ga (0.500, 0.500, 0.211)
Ga (0.500, 0.500, 0.789)
O (0.000, 0.500, 0.238)
O (0.000, 0.500, 0.762)
O (0.500, 0.000, 0.238)
O (0.500, 0.000, 0.762)
O (0.500, 0.500, 0.500)


Arrangement b

First-principles (PBE) data for an optimized crystal structure of Sm2Ga2O5, as listed in OQMD via LeMat-Bulk.

a = 3.934 Å, b = 3.934 Å, c = 9.039 Å
α = 90.00°, β = 90.00°, γ = 90.00°
Atoms (fractional coordinates):
Sm (0.000, 0.000, 0.245)
Sm (0.000, 0.000, 0.755)
Ga (0.500, 0.500, 0.000)
Ga (0.500, 0.500, 0.500)
O (0.000, 0.000, 0.500)
O (0.000, 0.500, 0.137)
O (0.000, 0.500, 0.863)
O (0.500, 0.000, 0.137)
O (0.500, 0.000, 0.863)


Relative energies with respect to the most stable structure, expressed in eV/atom: arrangement a 0.000; arrangement b 0.346.


Arrangement a

First-principles (PBE) data for an optimized crystal structure of ZnGaSnO4, as listed in OQMD via LeMat-Bulk.

a = 6.220 Å, b = 6.220 Å, c = 8.718 Å
α = 90.00°, β = 90.00°, γ = 90.00°
Atoms (fractional coordinates):
Zn (0.247, 0.247, 0.375)
Zn (0.247, 0.753, 0.125)
Zn (0.753, 0.247, 0.625)
Zn (0.753, 0.753, 0.875)
Ga (0.000, 0.235, 0.000)
Ga (0.000, 0.765, 0.500)
Ga (0.235, 0.000, 0.750)
Ga (0.765, 0.000, 0.250)
Sn (0.237, 0.500, 0.750)
Sn (0.500, 0.237, 0.000)
Sn (0.500, 0.763, 0.500)
Sn (0.763, 0.500, 0.250)
O (0.011, 0.232, 0.769)
O (0.011, 0.768, 0.731)
O (0.229, 0.472, 0.004)
O (0.229, 0.528, 0.496)
O (0.232, 0.011, 0.981)
O (0.232, 0.989, 0.519)
O (0.472, 0.229, 0.746)
O (0.472, 0.771, 0.754)
O (0.528, 0.229, 0.254)
O (0.528, 0.771, 0.246)
O (0.768, 0.011, 0.019)
O (0.768, 0.989, 0.481)
O (0.771, 0.472, 0.996)
O (0.771, 0.528, 0.504)
O (0.989, 0.232, 0.231)
O (0.989, 0.768, 0.269)


Arrangement b

First-principles (PBE) data for an optimized crystal structure of ZnGaSnO4, as listed in OQMD via LeMat-Bulk.

a = 6.189 Å, b = 6.189 Å, c = 8.737 Å
α = 90.00°, β = 90.00°, γ = 90.00°
Atoms (fractional coordinates):
Zn (0.000, 0.232, 0.000)
Zn (0.000, 0.768, 0.500)
Zn (0.232, 0.000, 0.750)
Zn (0.768, 0.000, 0.250)
Ga (0.247, 0.247, 0.375)
Ga (0.247, 0.753, 0.125)
Ga (0.753, 0.247, 0.625)
Ga (0.753, 0.753, 0.875)
Sn (0.234, 0.500, 0.750)
Sn (0.500, 0.234, 0.000)
Sn (0.500, 0.766, 0.500)
Sn (0.766, 0.500, 0.250)
O (0.001, 0.245, 0.243)
O (0.001, 0.755, 0.257)
O (0.243, 0.495, 0.003)
O (0.243, 0.505, 0.497)
O (0.245, 0.001, 0.507)
O (0.245, 0.999, 0.993)
O (0.495, 0.243, 0.747)
O (0.495, 0.757, 0.753)
O (0.505, 0.243, 0.253)
O (0.505, 0.757, 0.247)
O (0.755, 0.001, 0.493)
O (0.755, 0.999, 0.007)
O (0.757, 0.495, 0.997)
O (0.757, 0.505, 0.503)
O (0.999, 0.245, 0.757)
O (0.999, 0.755, 0.743)


Relative energies with respect to the most stable structure, expressed in eV/atom: arrangement a 0.000; arrangement b 0.028.


Arrangement a

First-principles (PBE) data for an optimized crystal structure of Ta2Ga2O5, as listed in OQMD via LeMat-Bulk.

a = 3.985 Å, b = 3.985 Å, c = 5.957 Å
α = 90.00°, β = 90.00°, γ = 90.00°
Atoms (fractional coordinates):
Ta (0.000, 0.000, 0.000)
Ta (0.000, 0.000, 0.500)
Ga (0.500, 0.500, 0.195)
Ga (0.500, 0.500, 0.805)
O (0.000, 0.500, 0.237)
O (0.000, 0.500, 0.763)
O (0.500, 0.000, 0.237)
O (0.500, 0.000, 0.763)
O (0.500, 0.500, 0.500)


Arrangement b

First-principles (PBE) data for an optimized crystal structure of Ta2Ga2O5, as listed in OQMD via LeMat-Bulk.

a = 3.967 Å, b = 3.967 Å, c = 7.984 Å
α = 90.00°, β = 90.00°, γ = 90.00°
Atoms (fractional coordinates):
Ta (0.000, 0.000, 0.250)
Ta (0.000, 0.000, 0.750)
Ga (0.500, 0.500, 0.000)
Ga (0.500, 0.500, 0.500)
O (0.000, 0.000, 0.000)
O (0.000, 0.500, 0.258)
O (0.000, 0.500, 0.742)
O (0.500, 0.000, 0.258)
O (0.500, 0.000, 0.742)


Relative energies with respect to the most stable structure, expressed in eV/atom: arrangement a 0.938; arrangement b 0.000.


Arrangement a

First-principles (PBE) data for an optimized crystal structure of Tb2Ga2O5, as listed in OQMD via LeMat-Bulk.

a = 3.916 Å, b = 3.916 Å, c = 8.741 Å
α = 90.00°, β = 90.00°, γ = 90.00°
Atoms (fractional coordinates):
Tb (0.000, 0.000, 0.245)
Tb (0.000, 0.000, 0.755)
Ga (0.500, 0.500, 0.000)
Ga (0.500, 0.500, 0.500)
O (0.000, 0.000, 0.500)
O (0.000, 0.500, 0.142)
O (0.000, 0.500, 0.858)
O (0.500, 0.000, 0.142)
O (0.500, 0.000, 0.858)


Arrangement b

First-principles (PBE) data for an optimized crystal structure of Tb2Ga2O5, as listed in OQMD via LeMat-Bulk.

a = 3.888 Å, b = 3.888 Å, c = 6.811 Å
α = 90.00°, β = 90.00°, γ = 90.00°
Atoms (fractional coordinates):
Tb (0.000, 0.000, 0.000)
Tb (0.000, 0.000, 0.500)
Ga (0.500, 0.500, 0.206)
Ga (0.500, 0.500, 0.794)
O (0.000, 0.500, 0.236)
O (0.000, 0.500, 0.764)
O (0.500, 0.000, 0.236)
O (0.500, 0.000, 0.764)
O (0.500, 0.500, 0.500)


Relative energies with respect to the most stable structure, expressed in eV/atom: arrangement a 0.215; arrangement b 0.000.


Arrangement a

First-principles (PBE) data for an optimized crystal structure of TmGa2O4, as listed in OQMD via LeMat-Bulk.

a = 7.898 Å, b = 5.281 Å, c = 5.281 Å
α = 119.01°, β = 90.00°, γ = 90.00°
Atoms (fractional coordinates):
Tm (0.250, 0.036, 0.964)
Tm (0.750, 0.964, 0.036)
Ga (0.035, 0.712, 0.386)
Ga (0.465, 0.712, 0.386)
Ga (0.535, 0.386, 0.712)
Ga (0.965, 0.386, 0.712)
O (0.000, 0.779, 0.779)
O (0.067, 0.372, 0.028)
O (0.250, 0.895, 0.496)
O (0.433, 0.372, 0.028)
O (0.500, 0.779, 0.779)
O (0.567, 0.028, 0.372)
O (0.750, 0.496, 0.895)
O (0.933, 0.028, 0.372)


Arrangement b

First-principles (PBE) data for an optimized crystal structure of TmGa2O4, as listed in OQMD via LeMat-Bulk.

a = 6.264 Å, b = 6.264 Å, c = 6.264 Å
α = 60.00°, β = 60.00°, γ = 60.00°
Atoms (fractional coordinates):
Tm (0.125, 0.125, 0.125)
Tm (0.875, 0.875, 0.875)
Ga (0.000, 0.500, 0.500)
Ga (0.500, 0.000, 0.500)
Ga (0.500, 0.500, 0.000)
Ga (0.500, 0.500, 0.500)
O (0.264, 0.264, 0.264)
O (0.264, 0.264, 0.709)
O (0.264, 0.709, 0.264)
O (0.291, 0.736, 0.736)
O (0.709, 0.264, 0.264)
O (0.736, 0.291, 0.736)
O (0.736, 0.736, 0.291)
O (0.736, 0.736, 0.736)


Relative energies with respect to the most stable structure, expressed in eV/atom: arrangement a 0.000; arrangement b 0.018.